Here is BaCoBr after structural relaxation from Alexandria via LeMat-Bulk. Energies are from GGA-PBE.

Summary:
SG = P6_3/mmc (194)
Energy above the lowest structure with this stoichiometry = 0.742 eV per atom

Unit cell a=5.511 b=5.511 c=8.801 alpha=90.00 beta=90.00 gamma=120.00
Each line ends with the local moment (μB).
Fractional coordinates of all 6 atoms:
Co 0.000 0.000 0.000  0.71
Co 0.000 0.000 0.500  0.73
Ba 0.333 0.667 0.250  -0.08
Ba 0.667 0.333 0.750  -0.08
Br 0.000 0.000 0.250  0.01
Br 0.000 0.000 0.750  0.01

---

Here is BaCo3Br12 after structural relaxation from Alexandria via LeMat-Bulk. Energies are from GGA-PBE.

Summary:
SG = R3c (161)

Unit cell a=11.801 b=11.801 c=13.686 alpha=64.46 beta=64.46 gamma=60.00
Each line ends with the local moment (μB).
Fractional coordinates of all 32 atoms:
Ba 0.054 0.054 0.837  0.01
Ba 0.554 0.554 0.337  0.01
Co 0.713 0.344 0.999  2.61
Co 0.213 0.444 0.499  2.61
Co 0.844 0.213 0.499  2.61
Co 0.344 0.944 0.999  2.61
Co 0.944 0.713 0.999  2.61
Co 0.444 0.844 0.499  2.61
Br 0.117 0.093 0.038  0.26
Br 0.246 0.242 0.644  0.27
Br 0.981 0.003 0.475  0.38
Br 0.881 0.391 0.836  0.28
Br 0.381 0.392 0.336  0.28
Br 0.481 0.041 0.975  0.38
Br 0.746 0.368 0.144  0.27
Br 0.003 0.541 0.475  0.38
Br 0.617 0.252 0.538  0.26
Br 0.868 0.246 0.644  0.27
Br 0.891 0.381 0.336  0.28
Br 0.252 0.593 0.538  0.26
Br 0.041 0.503 0.975  0.38
Br 0.752 0.117 0.038  0.26
Br 0.391 0.892 0.836  0.28
Br 0.368 0.742 0.144  0.27
Br 0.742 0.746 0.144  0.27
Br 0.503 0.481 0.975  0.38
Br 0.593 0.617 0.538  0.26
Br 0.892 0.881 0.836  0.28
Br 0.392 0.891 0.336  0.28
Br 0.093 0.752 0.038  0.26
Br 0.242 0.868 0.644  0.27
Br 0.541 0.981 0.475  0.38

---

Here is CsBaCo2Br8 after structural relaxation from Alexandria via LeMat-Bulk. Energies are from GGA-PBE.

Summary:
SG = R-3 (148)

Unit cell a=7.150 b=7.150 c=11.230 alpha=71.44 beta=71.44 gamma=60.00
Each line ends with the local moment (μB).
Fractional coordinates of all 12 atoms:
Cs 0.500 0.500 0.500  0.00
Ba 0.000 0.000 0.000  0.01
Co 0.246 0.246 0.261  2.50
Co 0.754 0.754 0.739  2.50
Br 0.172 0.172 0.483  0.21
Br 0.565 0.309 0.185  0.14
Br 0.828 0.828 0.517  0.21
Br 0.941 0.565 0.185  0.14
Br 0.059 0.435 0.815  0.14
Br 0.309 0.941 0.185  0.14
Br 0.691 0.059 0.815  0.14
Br 0.435 0.691 0.815  0.14

---

Number 1: raw formation energy 39 meV per atom, spin magnetization 0.0941 μB/atom. Number 2: raw formation energy -579 meV per atom, spin magnetization 0.8143 μB/atom. Number 3: raw formation energy -1021 meV per atom, spin magnetization 0.5833 μB/atom.